! GdLuRu2 GGA-PBEsol optimized geometry; values from VASP
! total moment: 1.757 μB/atom
! ρ: 12.14 g cm⁻³
! calculated formation energy: -1.212 eV/f.u.
&SYSTEM
  ibrav = 0, nat = 4, ntyp = 3
/
ATOMIC_SPECIES
Gd 157.25 Gd.upf
Lu 174.97 Lu.upf
Ru 101.07 Ru.upf
CELL_PARAMETERS angstrom
-0.064 -2.800 3.766
4.027 -1.276 2.044
1.136 1.714 4.218
ATOMIC_POSITIONS crystal
Gd 0.500 0.500 0.500
Lu 0.000 0.000 0.000
Ru 0.750 0.750 0.750
Ru 0.250 0.250 0.250


! RbSb2P2 GGA-PBEsol optimized geometry; values from VASP
! total moment: 0.000 μB/atom
! ρ: 4.94 g cm⁻³
! formation energy (no corrections): 1.25 eV per formula unit
! energy relative to the lowest polymorph listed for this composition: 188 meV/atom
&SYSTEM
  ibrav = 0, nat = 10, ntyp = 3
/
ATOMIC_SPECIES
Sb 121.76 Sb.upf
Rb 85.47 Rb.upf
P 30.97 P.upf
CELL_PARAMETERS angstrom
3.500 0.000 0.000
0.000 8.663 0.000
0.000 0.000 8.663
ATOMIC_POSITIONS crystal
Sb 0.000 0.384 0.884
Sb 0.000 0.884 0.616
Sb 0.000 0.616 0.116
Sb 0.000 0.116 0.384
Rb 0.000 0.000 0.000
Rb 0.000 0.500 0.500
P 0.500 0.145 0.645
P 0.500 0.645 0.855
P 0.500 0.855 0.355
P 0.500 0.355 0.145